Record 1
Density functional theory data (SCAN) for a crystal of LiMg2Pb relaxed with PBEsol.

## Properties
ρ in kg/m3: 4628
Formation energy in eV per atom: -0.05
D(E_F) in states/eV/cell: 4.394

a b c (Å): 3.3198 3.3198 29.6331
angles (deg): 90.00 90.00 120.00
Space group R-3m (No. 166, hexagonal axes)
Inequivalent atoms, fractional coordinates:
Li: 0.0000 0.0000 0.0000 x3
Mg: 0.0000 0.0000 0.2532 x6
Pb: 0.0000 0.0000 0.5000 x3

---

Record 2
Density functional theory data (SCAN) for a crystal of LiAgCl2 relaxed with PBEsol.

## Properties
Uncorrected formation energy in eV/atom: -1.26
ρ in kg/m3: 4179
D(E_F) in states/eV/cell: 0.000

a b c (Å): 3.7185 3.7185 18.4881
angles (deg): 90.00 90.00 120.00
Space group R-3m (No. 166, hexagonal axes)
Inequivalent atoms, fractional coordinates:
Li: 0.0000 0.0000 0.0000 x3
Ag: 0.0000 0.0000 0.5000 x3
Cl: 0.0000 0.0000 0.2569 x6

---

Record 3
Density functional theory data (SCAN) for a crystal of Ta2BeNi relaxed with PBEsol.

## Properties
ρ in kg/m3: 13087
Formation energy in eV per atom: -0.06
D(E_F) in states/eV/cell: 3.244

a b c (Å): 3.881 3.881 3.619
angles (deg): 90.00 90.00 90.00
Space group P4/mmm (No. 123)
Inequivalent atoms, fractional coordinates:
Ta: 0.000 0.500 0.000 x2
Be: 0.000 0.000 0.500 x1
Ni: 0.500 0.500 0.500 x1

---

Record 4
Density functional theory data (SCAN) for a crystal of KLaTiO4 relaxed with PBEsol.

## Properties
Uncorrected formation energy in eV/atom: -3.29
ρ in kg/m3: 4911
D(E_F) in states/eV/cell: 0.000

a b c (Å): 13.410 5.412 5.401
angles (deg): 90.00 90.00 90.00
Space group Pbcm (No. 57)
Inequivalent atoms, fractional coordinates:
K: 0.093 0.006 0.250 x4
La: 0.395 0.007 0.250 x4
Ti: 0.243 0.502 0.250 x4
O: 0.112 0.509 0.250 x4
O: 0.270 0.250 0.000 x4
O: 0.277 0.750 0.000 x4
O: 0.432 0.023 0.750 x4

---

Record 5
Density functional theory data (SCAN) for a crystal of FeTc2Ir relaxed with PBEsol.

## Properties
ρ in kg/m3: 13983
Formation energy in eV per atom: 0.03
D(E_F) in states/eV/cell: 11.605

a b c (Å): 2.6612 2.6612 25.7952
angles (deg): 90.00 90.00 120.00
Space group R-3m (No. 166, hexagonal axes)
Inequivalent atoms, fractional coordinates:
Fe: 0.0000 0.0000 0.0000 x3
Tc: 0.0000 0.0000 0.2537 x6
Ir: 0.0000 0.0000 0.5000 x3

---

Record 6
Density functional theory data (SCAN) for a crystal of K2PtCl4 relaxed with PBEsol.

## Properties
Uncorrected formation energy in eV/atom: -1.51
ρ in kg/m3: 3487
D(E_F) in states/eV/cell: 0.000

a b c (Å): 6.940 6.940 4.105
angles (deg): 90.00 90.00 90.00
Space group P4/mmm (No. 123)
Inequivalent atoms, fractional coordinates:
K: 0.000 0.500 0.000 x2
Pt: 0.000 0.000 0.500 x1
Cl: 0.234 0.234 0.500 x4

---

Record 7
Density functional theory data (SCAN) for a crystal of Au3CSe relaxed with PBEsol.

## Properties
Uncorrected formation energy in eV/atom: 1.83
ρ in kg/m3: 9779
D(E_F) in states/eV/cell: 3.912

a b c (Å): 4.874 4.874 4.874
angles (deg): 90.00 90.00 90.00
Space group Pm-3m (No. 221)
Inequivalent atoms, fractional coordinates:
Au: 0.000 0.000 0.500 x3
C: 0.500 0.500 0.500 x1
Se: 0.000 0.000 0.000 x1

---

Record 8
Density functional theory data (SCAN) for a crystal of Lu2CuGe4O12 relaxed with PBEsol.

## Properties
Uncorrected formation energy in eV/atom: -2.31
ρ in kg/m3: 6211
D(E_F) in states/eV/cell: 0.000

a b c (Å): 4.918 7.018 7.706
angles (deg): 67.16 87.93 78.06
Space group P-1 (No. 2)
Inequivalent atoms, fractional coordinates:
Lu: 0.049 0.268 0.454 x2
Cu: 0.000 0.500 0.000 x1
Ge: 0.418 0.878 0.790 x2
Ge: 0.464 0.660 0.228 x2
O: 0.220 0.925 0.591 x2
O: 0.223 0.564 0.395 x2
O: 0.248 0.272 0.197 x2
O: 0.250 0.522 0.795 x2
O: 0.266 0.802 0.011 x2
O: 0.393 0.161 0.709 x2

---

Record 9
Density functional theory data (SCAN) for a crystal of CdAgW2 relaxed with PBEsol.

## Properties
ρ in kg/m3: 14307
Formation energy in eV per atom: 0.74
D(E_F) in states/eV/cell: 4.017

a b c (Å): 3.218 4.734 8.960
angles (deg): 90.00 90.00 90.00
Space group Imm2 (No. 44)
Inequivalent atoms, fractional coordinates:
Cd: 0.000 0.000 0.000 x2
Ag: 0.000 0.500 0.248 x2
W: 0.000 0.000 0.485 x2
W: 0.000 0.500 0.772 x2

---

Record 10
Density functional theory data (SCAN) for a crystal of YBeNi3 relaxed with PBEsol.

## Properties
ρ in kg/m3: 6932
Formation energy in eV per atom: -0.24
D(E_F) in states/eV/cell: 4.564

a b c (Å): 4.034 4.034 4.034
angles (deg): 90.00 90.00 90.00
Space group Pm-3m (No. 221)
Inequivalent atoms, fractional coordinates:
Y: 0.000 0.000 0.000 x1
Be: 0.500 0.500 0.500 x1
Ni: 0.000 0.500 0.500 x3

---

Record 11
Density functional theory data (SCAN) for a crystal of Sr2CuAg relaxed with PBEsol.

## Properties
ρ in kg/m3: 4630
Formation energy in eV per atom: 0.01
D(E_F) in states/eV/cell: 10.585

a b c (Å): 4.4156 4.4156 22.0871
angles (deg): 90.00 90.00 120.00
Space group R-3m (No. 166, hexagonal axes)
Inequivalent atoms, fractional coordinates:
Sr: 0.0000 0.0000 0.2451 x6
Cu: 0.0000 0.0000 0.5000 x3
Ag: 0.0000 0.0000 0.0000 x3

---

Record 12
Density functional theory data (SCAN) for a crystal of SrSb2TePb relaxed with PBEsol.

## Properties
Uncorrected formation energy in eV/atom: 0.58
ρ in kg/m3: 5518
D(E_F) in states/eV/cell: 4.857

a b c (Å): 5.835 5.835 5.886
angles (deg): 90.00 90.00 90.00
Space group P4/mmm (No. 123)
Inequivalent atoms, fractional coordinates:
Sr: 0.000 0.000 0.000 x1
Sb: 0.000 0.500 0.000 x2
Te: 0.000 0.000 0.500 x1
Pb: 0.500 0.500 0.500 x1

---

| no. | magnetization (μB/atom) |
| --- | --- |
| 1 | 0.03 |
| 2 | 0.00 |
| 3 | 0.00 |
| 4 | 0.00 |
| 5 | 0.45 |
| 6 | 0.00 |
| 7 | 0.45 |
| 8 | 0.05 |
| 9 | 0.00 |
| 10 | 0.00 |
| 11 | 0.00 |
| 12 | 0.00 |